# 1
Entry from Alexandria: RbInHg2 after structural relaxation (PBE).

Geometry as extended XYZ:
```
4
Lattice="-0.853 0.578 4.902 -4.653 -0.442 1.802 -0.814 -6.723 3.211" Properties=species:S:1:pos:R:3 pbc="T T T"
In -4.509 -6.468 7.657
Hg -0.957 -5.773 3.074
Rb -3.139 -3.432 4.978
Hg -1.688 -0.929 2.375
```

## Properties
SG: R3m, No. 160
total energy: -1.201 eV/atom
crystal system: trigonal


# 2
Entry from Alexandria: KAgRu2 after structural relaxation (PBE).

Geometry as extended XYZ:
```
4
Lattice="0.000 3.355 3.355 3.355 0.000 3.355 3.355 3.355 0.000" Properties=species:S:1:pos:R:3 pbc="T T T"
Ru 1.677 1.677 1.677
K 0.000 0.000 0.000
Ag 3.355 3.355 3.355
Ru 5.032 5.032 5.032
```

## Properties
SG: Fm-3m, No. 225
total energy: -4.095 eV/atom
energy above the most stable polymorph in this dataset: 0.988 eV per atom
crystal system: cubic


# 3
Entry from Alexandria: Th3AuC after structural relaxation (PBE).

Geometry as extended XYZ:
```
5
Lattice="-1.653 0.357 -4.737 3.811 -2.895 -1.548 -2.836 -4.098 0.681" Properties=species:S:1:pos:R:3 pbc="T T T"
Au -0.339 -3.318 -2.802
Th -1.418 -2.049 0.340
C 0.000 0.000 0.000
Th -0.826 0.179 -2.369
Th 1.905 -1.448 -0.774
```

## Properties
SG: Pm-3m, No. 221
total energy: -7.219 eV/atom
energy above the most stable polymorph in this dataset: 0.178 eV per atom
crystal system: cubic


# 4
Entry from Alexandria: InP4Rh after structural relaxation (PBE).

Geometry as extended XYZ:
```
6
Lattice="0.000 3.645 3.645 3.645 0.000 3.645 3.645 3.645 0.000" Properties=species:S:1:pos:R:3 pbc="T T T"
Rh 5.467 5.467 5.467
P 2.732 2.732 2.732
P 4.557 4.557 2.732
In 0.000 0.000 0.000
P 2.732 4.557 4.557
P 4.557 2.732 4.557
```

## Properties
SG: F-43m, No. 216
total energy: -4.670 eV/atom
crystal system: cubic


# 5
Entry from Alexandria: Gd3Cu5Se12 after structural relaxation (PBE).

Geometry as extended XYZ:
```
80
Lattice="13.433 0.000 0.000 -4.478 12.664 0.000 -4.478 -6.332 10.968" Properties=species:S:1:pos:R:3 pbc="T T T"
Se 8.384 0.752 5.133
Se 0.571 7.987 7.399
Se 5.674 1.844 1.339
Se -4.631 9.130 4.145
Cu 3.358 2.375 1.371
Se 6.869 11.321 0.351
Cu 5.597 3.166 8.226
Se -0.571 0.903 2.266
Gd 3.358 0.000 8.226
Se 3.906 -1.655 3.568
Cu 6.716 0.000 0.000
Cu 3.358 9.498 2.742
Se -1.197 4.488 9.629
Se 5.049 5.429 8.702
Se 6.869 3.534 4.145
Cu 5.597 -3.958 9.597
Cu 2.239 3.166 5.484
Gd -1.119 5.541 6.855
Se 9.579 6.367 1.915
Cu 1.119 -3.166 8.226
Cu 1.119 3.958 9.597
Gd 7.836 8.707 1.371
Se -1.042 7.417 4.557
Cu -4.478 3.166 5.484
Se 3.281 5.247 4.557
Se 5.101 -1.676 10.040
Se 6.092 6.297 1.915
Se -3.906 5.580 5.835
Se -2.810 7.236 8.702
Se 1.197 1.085 6.411
Cu -1.119 0.792 6.855
Se -2.392 -4.989 10.617
Se -0.624 4.691 0.988
Cu 7.836 -0.792 6.855
Cu 4.478 6.332 0.000
Cu 4.478 -3.166 5.484
Se -5.101 -0.035 9.052
Cu -2.239 -3.166 5.484
Se 7.913 -4.488 9.629
Se 1.615 1.676 10.040
Se 9.997 2.928 3.218
Se -4.324 4.989 10.617
Cu -2.239 6.332 0.000
Gd -3.358 2.375 9.597
Se -1.197 -3.404 7.750
Cu -3.358 7.124 4.113
Se 0.153 4.142 4.496
Se -0.624 8.008 0.927
Se 2.863 7.973 0.988
Se 1.615 -1.641 9.980
Se 4.324 2.191 6.472
Se -3.435 10.821 1.339
Se -2.392 2.798 6.823
Se 1.667 4.677 7.399
Gd -3.358 -2.375 9.597
Se 2.810 1.655 3.568
Gd 1.119 6.332 2.742
Gd 1.119 -0.792 4.113
Se 2.863 4.656 0.927
Gd 10.074 0.000 2.742
Gd -5.597 6.332 8.226
Se 8.802 1.343 0.351
Se 5.520 -1.085 6.411
Gd 3.358 7.124 6.855
Cu -1.119 3.166 2.742
Se 5.674 9.736 3.218
Cu 5.597 5.541 4.113
Se 6.145 7.084 5.835
Cu 0.000 0.000 0.000
Gd 5.597 0.792 4.113
Se 7.288 -0.903 2.266
Se 5.101 1.641 9.980
Se -5.520 3.404 7.750
Se 9.108 -2.798 6.823
Se -1.667 -0.752 5.133
Se -1.615 0.035 9.052
Gd 7.836 3.958 1.371
Se 2.392 -2.191 6.472
Se 2.086 8.523 4.496
Cu -1.119 10.290 1.371
```

## Properties
SG: Ia-3d, No. 230
total energy: -5.870 eV/atom
E_form (uncorrected): -643 meV per atom
crystal system: cubic


# 6
Entry from Alexandria: Nd3Zn2BRh3 after structural relaxation (PBE).

Geometry as extended XYZ:
```
9
Lattice="-2.168 0.745 -2.701 5.690 -0.865 -4.806 -4.291 -5.872 1.825" Properties=species:S:1:pos:R:3 pbc="T T T"
Rh 3.393 -0.308 -5.132
Zn -2.048 -3.830 -1.735
Nd 2.111 -0.321 -1.782
Nd 0.880 -4.238 -1.875
Rh -4.460 -4.248 0.086
Zn 1.279 -2.162 -3.946
Nd -1.592 -2.178 0.677
Rh -0.786 -1.063 -1.986
B 0.000 0.000 0.000
```

## Properties
SG: P-62m, No. 189
total energy: -5.486 eV/atom
crystal system: hexagonal